w) VASP calculation (meta-GGA SCAN) on TlSiBr at its PBEsol-relaxed geometry.

Results
space group: P3m1 (156)
calculated density: 7.24 g/cm³
crystal system: trigonal
magnetic moment: 0.00 Bohr magnetons per cell

Lattice parameters (Å, degrees): 3.390 3.390 7.194 90.00 90.00 120.00
Element x y z (fractional)
Tl (0.667, 0.333, 0.360)
Br (0.000, 0.000, 0.951)
Si (0.333, 0.667, 0.688)

x) VASP calculation (meta-GGA SCAN) on TlSiBr at its PBEsol-relaxed geometry.

Results
space group: F-43m (216)
calculated density: 6.00 g/cm³
crystal system: cubic
magnetic moment: 0.00 Bohr magnetons per cell

Lattice parameters (Å, degrees): 4.964 4.964 4.964 60.00 60.00 60.00
Element x y z (fractional)
Si (0.500, 0.500, 0.500)
Br (0.000, 0.000, 0.000)
Tl (0.250, 0.250, 0.250)

Short version: x) is the least stable of them.

w) VASP calculation (meta-GGA SCAN) on TlSiBr2 at its PBEsol-relaxed geometry.

Results
space group: R-3m (166)
calculated density: 6.18 g/cm³
crystal system: trigonal
magnetic moment: 0.00 Bohr magnetons per cell

Lattice parameters (Å, degrees): 3.664 3.664 9.305 78.65 78.65 60.00
Element x y z (fractional)
Tl (0.000, 0.000, 0.000)
Si (0.500, 0.500, 0.500)
Br (0.766, 0.766, 0.701)
Br (0.234, 0.234, 0.299)

x) VASP calculation (meta-GGA SCAN) on TlSiBr2 at its PBEsol-relaxed geometry.

Results
space group: Pmmm (47)
calculated density: 6.05 g/cm³
crystal system: orthorhombic
magnetic moment: 0.00 Bohr magnetons per cell

Lattice parameters (Å, degrees): 3.492 3.979 7.751 90.00 89.97 90.00
Element x y z (fractional)
Tl (0.000, 0.500, 0.500)
Si (0.500, 0.500, 0.000)
Br (0.500, 0.000, 0.760)
Br (0.500, 0.000, 0.240)

Short version: w) is the least stable of them.

w) VASP calculation (meta-GGA SCAN) on Si2WBr at its PBEsol-relaxed geometry.

Results
space group: I-42d (122)
calculated density: 5.35 g/cm³
crystal system: tetragonal
magnetic moment: 0.00 Bohr magnetons per cell

Lattice parameters (Å, degrees): 5.966 5.966 6.993 115.25 115.25 90.00
Element x y z (fractional)
W (0.250, 0.750, 0.500)
W (0.000, 0.000, 0.000)
Si (0.125, 0.075, 0.750)
Si (0.325, 0.875, 0.250)
Si (0.925, 0.375, 0.250)
Si (0.625, 0.675, 0.750)
Br (0.750, 0.250, 0.500)
Br (0.500, 0.500, 0.000)

x) VASP calculation (meta-GGA SCAN) on Si2WBr at its PBEsol-relaxed geometry.

Results
space group: F-43m (216)
calculated density: 8.60 g/cm³
crystal system: cubic
magnetic moment: 0.00 Bohr magnetons per cell

Lattice parameters (Å, degrees): 4.438 4.438 4.438 60.00 60.00 60.00
Element x y z (fractional)
Br (0.500, 0.500, 0.500)
W (0.250, 0.250, 0.250)
Si (0.000, 0.000, 0.000)
Si (0.750, 0.750, 0.750)

Short version: x) is the least stable of them.

w) VASP calculation (meta-GGA SCAN) on SiW2Br at its PBEsol-relaxed geometry.

Results
space group: Cmmm (65)
calculated density: 12.27 g/cm³
crystal system: orthorhombic
magnetic moment: 0.00 Bohr magnetons per cell

Lattice parameters (Å, degrees): 2.874 2.874 8.425 90.00 90.00 112.29
Element x y z (fractional)
W (0.000, 0.000, 0.776)
W (0.000, 0.000, 0.224)
Si (0.500, 0.500, 0.000)
Br (0.500, 0.500, 0.500)

x) VASP calculation (meta-GGA SCAN) on SiW2Br at its PBEsol-relaxed geometry.

Results
space group: I-4m2 (119)
calculated density: 12.56 g/cm³
crystal system: tetragonal
magnetic moment: 0.00 Bohr magnetons per cell

Lattice parameters (Å, degrees): 4.081 4.081 4.752 115.43 115.43 90.00
Element x y z (fractional)
W (0.750, 0.250, 0.500)
W (0.000, 0.000, 0.000)
Si (0.250, 0.750, 0.500)
Br (0.500, 0.500, 0.000)

Short version: x) is the least stable of them.

w) VASP calculation (meta-GGA SCAN) on Zn2SiBr at its PBEsol-relaxed geometry.

Results
space group: F-43m (216)
calculated density: 5.34 g/cm³
crystal system: cubic
magnetic moment: 0.00 Bohr magnetons per cell

Lattice parameters (Å, degrees): 4.718 4.718 4.718 60.00 60.00 60.00
Element x y z (fractional)
Zn (0.000, 0.000, 0.000)
Zn (0.250, 0.250, 0.250)
Br (0.500, 0.500, 0.500)
Si (0.750, 0.750, 0.750)

x) VASP calculation (meta-GGA SCAN) on Zn2SiBr at its PBEsol-relaxed geometry.

Results
space group: R-3m (166)
calculated density: 5.28 g/cm³
crystal system: trigonal
magnetic moment: 0.00 Bohr magnetons per cell

Lattice parameters (Å, degrees): 3.567 3.567 7.121 75.49 75.49 60.00
Element x y z (fractional)
Si (0.000, 0.000, 0.000)
Zn (0.262, 0.262, 0.213)
Zn (0.738, 0.738, 0.787)
Br (0.500, 0.500, 0.500)

Short version: w) is the least stable of them.

w) VASP calculation (meta-GGA SCAN) on ZrSiBr2 at its PBEsol-relaxed geometry.

Results
space group: C2/m (12)
calculated density: 5.55 g/cm³
crystal system: monoclinic
magnetic moment: 0.00 Bohr magnetons per cell

Lattice parameters (Å, degrees): 3.326 5.297 5.657 117.40 106.34 91.54
Element x y z (fractional)
Br (0.000, 0.000, 0.500)
Br (0.500, 0.500, 0.500)
Zr (0.500, 0.500, 0.000)
Si (0.000, 0.000, 0.000)

x) VASP calculation (meta-GGA SCAN) on ZrSiBr2 at its PBEsol-relaxed geometry.

Results
space group: Cmmm (65)
calculated density: 5.89 g/cm³
crystal system: orthorhombic
magnetic moment: 0.00 Bohr magnetons per cell

Lattice parameters (Å, degrees): 3.300 4.883 4.883 90.10 90.00 90.00
Element x y z (fractional)
Br (0.000, 0.500, 0.000)
Br (0.000, 0.000, 0.500)
Si (0.500, 0.000, 0.000)
Zr (0.500, 0.500, 0.500)

Short version: x) is the least stable of them.

w) VASP calculation (meta-GGA SCAN) on SrTc2Br at its PBEsol-relaxed geometry.

Results
space group: Imm2 (44)
calculated density: 6.64 g/cm³
crystal system: orthorhombic
magnetic moment: 0.00 Bohr magnetons per cell

Lattice parameters (Å, degrees): 3.586 5.560 5.560 62.20 71.19 71.19
Element x y z (fractional)
Br (0.459, 0.541, 0.541)
Tc (0.068, 0.932, 0.932)
Tc (0.729, 0.771, 0.771)
Sr (0.244, 0.256, 0.256)

x) VASP calculation (meta-GGA SCAN) on SrTc2Br at its PBEsol-relaxed geometry.

Results
space group: P4mm (99)
calculated density: 7.47 g/cm³
crystal system: tetragonal
magnetic moment: 0.00 Bohr magnetons per cell

Lattice parameters (Å, degrees): 3.176 3.176 8.012 90.00 90.00 90.00
Element x y z (fractional)
Tc (0.500, 0.500, 0.199)
Tc (0.000, 0.000, 0.052)
Sr (0.500, 0.500, 0.758)
Br (0.000, 0.000, 0.491)

Short version: w) is the least stable of them.

w) VASP calculation (meta-GGA SCAN) on Sr2TlBr at its PBEsol-relaxed geometry.

Results
space group: I4/mmm (139)
calculated density: 5.90 g/cm³
crystal system: tetragonal
magnetic moment: 0.00 Bohr magnetons per cell

Lattice parameters (Å, degrees): 5.473 5.800 5.473 118.15 90.00 118.15
Element x y z (fractional)
Tl (0.500, 0.000, 0.500)
Sr (0.750, 0.500, 0.250)
Sr (0.250, 0.500, 0.750)
Br (0.000, 0.000, 0.000)

x) VASP calculation (meta-GGA SCAN) on Sr2TlBr at its PBEsol-relaxed geometry.

Results
space group: P4/mmm (123)
calculated density: 5.45 g/cm³
crystal system: tetragonal
magnetic moment: 0.00 Bohr magnetons per cell

Lattice parameters (Å, degrees): 4.605 4.605 6.603 90.00 90.00 90.00
Element x y z (fractional)
Sr (0.500, 0.500, 0.000)
Sr (0.000, 0.000, 0.500)
Br (0.500, 0.500, 0.500)
Tl (0.000, 0.000, 0.000)

Short version: w) is the least stable of them.

w) VASP calculation (meta-GGA SCAN) on Sr2TlBr at its PBEsol-relaxed geometry.

Results
space group: P2/m (10)
calculated density: 5.43 g/cm³
crystal system: monoclinic
magnetic moment: 0.00 Bohr magnetons per cell

Lattice parameters (Å, degrees): 3.905 4.075 8.837 90.21 90.00 90.00
Element x y z (fractional)
Tl (0.500, 0.000, 0.500)
Sr (0.000, 0.498, 0.277)
Sr (0.000, 0.502, 0.723)
Br (0.500, 0.500, 0.000)

x) VASP calculation (meta-GGA SCAN) on Sr2TlBr at its PBEsol-relaxed geometry.

Results
space group: R-3m (166)
calculated density: 5.51 g/cm³
crystal system: trigonal
magnetic moment: 0.00 Bohr magnetons per cell

Lattice parameters (Å, degrees): 4.338 4.338 8.857 75.82 75.82 60.00
Element x y z (fractional)
Tl (0.500, 0.500, 0.500)
Sr (0.750, 0.750, 0.750)
Sr (0.250, 0.250, 0.250)
Br (0.000, 0.000, 0.000)

Short version: x) is the least stable of them.

w) VASP calculation (meta-GGA SCAN) on SrWBr2 at its PBEsol-relaxed geometry.

Results
space group: Pmmm (47)
calculated density: 7.05 g/cm³
crystal system: orthorhombic
magnetic moment: 3.41 Bohr magnetons per cell

Lattice parameters (Å, degrees): 3.521 4.652 6.202 90.00 90.00 90.00
Element x y z (fractional)
Sr (0.500, 0.500, 0.000)
Br (0.000, 0.000, 0.000)
Br (0.500, 0.000, 0.500)
W (0.000, 0.500, 0.500)

x) VASP calculation (meta-GGA SCAN) on SrWBr2 at its PBEsol-relaxed geometry.

Results
space group: Immm (71)
calculated density: 6.76 g/cm³
crystal system: orthorhombic
magnetic moment: 0.00 Bohr magnetons per cell

Lattice parameters (Å, degrees): 3.479 5.320 6.548 113.97 105.41 90.00
Element x y z (fractional)
Sr (0.500, 0.000, 0.000)
W (0.000, 0.500, 0.000)
Br (0.665, 0.665, 0.329)
Br (0.335, 0.335, 0.671)

y) VASP calculation (meta-GGA SCAN) on SrWBr2 at its PBEsol-relaxed geometry.

Results
space group: P4mm (99)
calculated density: 7.32 g/cm³
crystal system: tetragonal
magnetic moment: 0.30 Bohr magnetons per cell

Lattice parameters (Å, degrees): 3.367 3.367 8.634 90.00 90.00 90.00
Element x y z (fractional)
Br (0.500, 0.500, 0.284)
Br (0.000, 0.000, 0.922)
Sr (0.000, 0.000, 0.501)
W (0.500, 0.500, 0.793)

Short version: w) is the least stable of them.

w) VASP calculation (meta-GGA SCAN) on SrY2Br at its PBEsol-relaxed geometry.

Results
space group: Cm (8)
calculated density: 4.30 g/cm³
crystal system: monoclinic
magnetic moment: 0.14 Bohr magnetons per cell

Lattice parameters (Å, degrees): 3.589 6.374 6.513 110.33 90.00 106.35
Element x y z (fractional)
Br (0.518, 0.035, 0.547)
Y (0.220, 0.441, 0.756)
Y (0.975, 0.950, 0.911)
Sr (0.787, 0.574, 0.286)

x) VASP calculation (meta-GGA SCAN) on SrY2Br at its PBEsol-relaxed geometry.

Results
space group: P4/mmm (123)
calculated density: 4.56 g/cm³
crystal system: tetragonal
magnetic moment: 0.00 Bohr magnetons per cell

Lattice parameters (Å, degrees): 3.711 5.824 5.824 90.00 90.00 90.00
Element x y z (fractional)
Y (0.000, 0.000, 0.500)
Y (0.000, 0.500, 0.000)
Br (0.500, 0.500, 0.500)
Sr (0.500, 0.000, 0.000)

Short version: x) is the least stable of them.

w) VASP calculation (meta-GGA SCAN) on SrY2Br at its PBEsol-relaxed geometry.

Results
space group: I4/mmm (139)
calculated density: 4.14 g/cm³
crystal system: tetragonal
magnetic moment: 0.00 Bohr magnetons per cell

Lattice parameters (Å, degrees): 4.474 4.474 7.615 107.08 107.08 90.00
Element x y z (fractional)
Br (0.500, 0.500, 0.000)
Y (0.750, 0.250, 0.500)
Y (0.250, 0.750, 0.500)
Sr (0.000, 0.000, 0.000)

x) VASP calculation (meta-GGA SCAN) on SrY2Br at its PBEsol-relaxed geometry.

Results
space group: R-3m (166)
calculated density: 4.64 g/cm³
crystal system: trigonal
magnetic moment: 1.24 Bohr magnetons per cell

Lattice parameters (Å, degrees): 3.679 3.679 10.745 80.14 80.14 60.00
Element x y z (fractional)
Y (0.765, 0.765, 0.706)
Y (0.235, 0.235, 0.294)
Br (0.500, 0.500, 0.500)
Sr (0.000, 0.000, 0.000)

Short version: w) is the least stable of them.